1.
Density functional theory data (meta-GGA SCAN) for a PBEsol-optimized structure of Cu3Rh5.

a = 5.2793 Å, b = 5.2793 Å, c = 3.6880 Å
α = 90.00°, β = 90.00°, γ = 90.43°
Sites, in units of the cell vectors:
Cu 0.0000 0.0000 0.0000
Cu 0.2426 0.2426 0.5000
Cu 0.7574 0.7574 0.5000
Rh 0.0000 0.5000 0.0000
Rh 0.2538 0.7462 0.5000
Rh 0.5000 0.0000 0.0000
Rh 0.5000 0.5000 0.0000
Rh 0.7462 0.2538 0.5000

Computed properties:
Total magnetization   0.0 Bohr magnetons per cell
Calculated formation energy   0.106 eV per atom
Energy   -26.70 eV per atom
Volume   12.8 Å³ per atom

2.
Density functional theory data (meta-GGA SCAN) for a PBEsol-optimized structure of CdSi2W.

a = 8.4594 Å, b = 8.4594 Å, c = 8.4594 Å
α = 20.61°, β = 20.61°, γ = 20.61°
Sites, in units of the cell vectors:
Cd 0.0000 0.0000 0.0000
Si 0.2404 0.2404 0.2404
Si 0.7596 0.7596 0.7596
W 0.5000 0.5000 0.5000

Computed properties:
Total magnetization   0.0 Bohr magnetons per cell
Energy   -29.71 eV per atom
Volume   16.4 Å³ per atom
Formation energy from raw total energies   322 meV per atom

3.
Density functional theory data (meta-GGA SCAN) for a PBEsol-optimized structure of BaNb3Hg.

a = 4.9946 Å, b = 4.9946 Å, c = 4.9946 Å
α = 90.00°, β = 90.00°, γ = 90.00°
Sites, in units of the cell vectors:
Ba 0.0000 0.0000 0.0000
Nb 0.0000 0.0000 0.5000
Nb 0.0000 0.5000 0.0000
Nb 0.5000 0.0000 0.0000
Hg 0.5000 0.5000 0.5000

Computed properties:
Total magnetization   0.0 Bohr magnetons per cell
Calculated formation energy   2.509 eV per atom
Energy   -38.91 eV per atom
Volume   24.9 Å³ per atom

4.
Density functional theory data (meta-GGA SCAN) for a PBEsol-optimized structure of Li3Cu4F9.

a = 4.9780 Å, b = 5.3163 Å, c = 7.6612 Å
α = 100.06°, β = 90.83°, γ = 115.02°
Sites, in units of the cell vectors:
Li 0.0000 0.0000 0.0000
Li 0.2623 0.4856 0.5537
Li 0.7106 0.2661 0.7327
Cu 0.3623 0.6362 0.9326
Cu 0.5632 0.0116 0.3099
Cu 0.8016 0.4643 0.2366
Cu 0.9684 0.8721 0.6132
F 0.0303 0.3628 0.0755
F 0.0498 0.6286 0.7604
F 0.2224 0.7813 0.4473
F 0.3318 0.9627 0.0952
F 0.3648 0.3174 0.7524
F 0.5904 0.5146 0.4303
F 0.7106 0.7259 0.1049
F 0.7188 0.9377 0.7915
F 0.8763 0.1508 0.4981

Computed properties:
Total magnetization   2.0 Bohr magnetons per cell
Energy   -8.33 eV per atom
Volume   11.3 Å³ per atom
Formation energy from raw total energies   -2094 meV per atom

5.
Density functional theory data (meta-GGA SCAN) for a PBEsol-optimized structure of Li6WO6.

a = 5.5791 Å, b = 5.5791 Å, c = 5.5791 Å
α = 61.42°, β = 61.42°, γ = 61.42°
Sites, in units of the cell vectors:
Li 0.0094 0.5848 0.2191
Li 0.2191 0.0094 0.5848
Li 0.4152 0.7809 0.9906
Li 0.5848 0.2191 0.0094
Li 0.7809 0.9906 0.4152
Li 0.9906 0.4152 0.7809
W 0.5000 0.5000 0.5000
O 0.1491 0.7033 0.4011
O 0.2967 0.5989 0.8509
O 0.4011 0.1491 0.7033
O 0.5989 0.8509 0.2967
O 0.7033 0.4011 0.1491
O 0.8509 0.2967 0.5989

Computed properties:
Total magnetization   0.0 Bohr magnetons per cell
Energy   -11.59 eV per atom
Volume   9.7 Å³ per atom
Formation energy from raw total energies   -2249 meV per atom

6.
Density functional theory data (meta-GGA SCAN) for a PBEsol-optimized structure of ReP2Pb.

a = 8.1107 Å, b = 8.1107 Å, c = 8.1107 Å
α = 158.47°, β = 157.67°, γ = 31.21°
Sites, in units of the cell vectors:
Re 0.0000 0.0000 0.0000
P 0.1164 0.6164 0.5000
P 0.4305 0.4305 0.0000
Pb 0.7641 0.2641 0.5000

Computed properties:
Total magnetization   0.0 Bohr magnetons per cell
Calculated formation energy   0.173 eV per atom
Energy   -41.75 eV per atom
Volume   18.6 Å³ per atom

7.
Density functional theory data (meta-GGA SCAN) for a PBEsol-optimized structure of MgPbAu2.

a = 3.5251 Å, b = 4.3262 Å, c = 5.7922 Å
α = 90.00°, β = 107.15°, γ = 90.00°
Sites, in units of the cell vectors:
Mg 0.0000 0.0000 0.0000
Pb 0.7049 0.5000 0.4029
Au 0.2852 0.0000 0.5707
Au 0.4503 0.5000 0.8941

Computed properties:
Total magnetization   0.0 Bohr magnetons per cell
Calculated formation energy   -0.341 eV per atom
Energy   -55.11 eV per atom
Volume   21.1 Å³ per atom

8.
Density functional theory data (meta-GGA SCAN) for a PBEsol-optimized structure of CrSbSe2.

a = 8.6694 Å, b = 8.6694 Å, c = 8.6694 Å
α = 23.53°, β = 23.53°, γ = 23.53°
Sites, in units of the cell vectors:
Cr 0.0000 0.0000 0.0000
Sb 0.5000 0.5000 0.5000
Se 0.3883 0.3883 0.3883
Se 0.6117 0.6117 0.6117

Computed properties:
Total magnetization   3.0 Bohr magnetons per cell
Polymorph energy (0 for the lowest one)   0 meV/atom
Energy   -24.48 eV per atom
Volume   22.8 Å³ per atom
Formation energy from raw total energies   -529 meV per atom

no.,N(E_F) (states/eV per cell)
1,10.6
2,1.0
3,3.8
4,4.5
5,0.0
6,2.2
7,1.1
8,1.1